No. 1
Material: Dy3Sc2In3
Method: DFT, PBE
State: optimized geometry

ΔH_f (0 K) (eV per atom): -0.34
Crystal system: orthorhombic
Magnetization (μB/cell): 1.1
VASP energy (eV per atom): -4.680

Lattice parameters (Å, degrees): 4.358 4.803 19.892 90.00 90.00 90.00
Space group Immm (No. 71)
Inequivalent atoms, fractional coordinates:
1 Dy 0.000 0.000 0.000
2 Dy 0.000 0.500 0.123
3 Sc 0.000 0.000 0.242
4 In 0.000 0.000 0.500
5 In 0.000 0.500 0.365

***

No. 2
Material: CePrSO2
Method: DFT, PBE
State: optimized geometry

Crystal system: tetragonal
Magnetization (μB/cell): 2.0
VASP energy (eV per atom): -7.866

Lattice parameters (Å, degrees): 3.912 3.912 12.401 90.00 90.00 90.00
Space group I4mm (No. 107)
Inequivalent atoms, fractional coordinates:
1 Ce 0.000 0.000 0.000
2 Pr 0.000 0.000 0.296
3 S 0.000 0.000 0.653
4 O 0.000 0.500 0.402

***

No. 3
Material: CsLiNb3
Method: DFT, PBE
State: optimized geometry

ΔH_f (0 K) (eV per atom): 2.58
Crystal system: cubic
Magnetization (μB/cell): 0.0
VASP energy (eV per atom): -4.020

Lattice parameters (Å, degrees): 5.082 5.082 5.082 90.00 90.00 90.00
Space group Pm-3m (No. 221)
Inequivalent atoms, fractional coordinates:
1 Cs 0.000 0.000 0.000
2 Li 0.500 0.500 0.500
3 Nb 0.000 0.000 0.500

***

No. 4
Material: CsZrSe2Cl
Method: DFT, PBE
State: optimized geometry

Crystal system: tetragonal
Magnetization (μB/cell): 0.0
VASP energy (eV per atom): -5.059

Lattice parameters (Å, degrees): 5.311 5.311 5.311 90.00 90.00 90.00
Space group P4/mmm (No. 123)
Inequivalent atoms, fractional coordinates:
1 Cs 0.000 0.000 0.000
2 Zr 0.500 0.500 0.500
3 Se 0.000 0.500 0.500
4 Cl 0.500 0.500 0.000

***

No. 5
Material: AcSmBi2
Method: DFT, PBE
State: optimized geometry

ΔH_f (0 K) (eV per atom): -0.95
Crystal system: trigonal
Magnetization (μB/cell): 0.0
VASP energy (eV per atom): -5.100

Lattice parameters (Å, degrees): 4.7228 4.7228 23.1154 90.00 90.00 120.00
Space group R-3m (No. 166, hexagonal axes)
Inequivalent atoms, fractional coordinates:
1 Ac 0.0000 0.0000 0.0000
2 Sm 0.0000 0.0000 0.5000
3 Bi 0.0000 0.0000 0.2441

***

No. 6
Material: GdMgScIr
Method: DFT, PBE
State: optimized geometry

ΔH_f (0 K) (eV per atom): -0.44
Crystal system: cubic
Magnetization (μB/cell): 28.4
VASP energy (eV per atom): -8.162

Lattice parameters (Å, degrees): 6.943 6.943 6.943 90.00 90.00 90.00
Space group F-43m (No. 216)
Inequivalent atoms, fractional coordinates:
1 Gd 0.000 0.000 0.000
2 Mg 0.250 0.250 0.250
3 Sc 0.000 0.000 0.500
4 Ir 0.250 0.250 0.750

***

No. 7
Material: RbFeAs
Method: DFT, PBE
State: optimized geometry

ΔH_f (0 K) (eV per atom): 0.19
Crystal system: tetragonal
Magnetization (μB/cell): 4.2
VASP energy (eV per atom): -4.501

Lattice parameters (Å, degrees): 3.387 3.387 12.562 90.00 90.00 90.00
Space group I4mm (No. 107)
Inequivalent atoms, fractional coordinates:
1 Rb 0.000 0.000 0.000
2 Fe 0.000 0.000 0.270
3 As 0.000 0.000 0.723

***

No. 8
Material: Zn3Ag3Sn
Method: DFT, PBE
State: optimized geometry

ΔH_f (0 K) (eV per atom): 0.51
Crystal system: cubic
Magnetization (μB/cell): 0.0
VASP energy (eV per atom): -1.829

Lattice parameters (Å, degrees): 7.082 7.082 7.082 90.00 90.00 90.00
Space group Pm-3n (No. 223)
Inequivalent atoms, fractional coordinates:
1 Zn 0.000 0.250 0.500
2 Ag 0.000 0.500 0.250
3 Sn 0.000 0.000 0.000

***

No. 9
Material: CsAcHgPb
Method: DFT, PBE
State: optimized geometry

ΔH_f (0 K) (eV per atom): -0.19
Crystal system: cubic
Magnetization (μB/cell): 0.0
VASP energy (eV per atom): -2.435

Lattice parameters (Å, degrees): 8.536 8.536 8.536 90.00 90.00 90.00
Space group F-43m (No. 216)
Inequivalent atoms, fractional coordinates:
1 Cs 0.000 0.000 0.000
2 Ac 0.000 0.000 0.500
3 Hg 0.250 0.250 0.750
4 Pb 0.250 0.250 0.250

***

No. 10
Material: BeNi2Te
Method: DFT, PBE
State: optimized geometry

Crystal system: cubic
Magnetization (μB/cell): 0.0
VASP energy (eV per atom): -4.286

Lattice parameters (Å, degrees): 5.986 5.986 5.986 90.00 90.00 90.00
Space group F-43m (No. 216)
Inequivalent atoms, fractional coordinates:
1 Be 0.000 0.000 0.000
2 Ni 0.000 0.000 0.500
3 Ni 0.250 0.250 0.750
4 Te 0.250 0.250 0.250

***

No. 11
Material: NaCa2SnIr
Method: DFT, PBE
State: optimized geometry

ΔH_f (0 K) (eV per atom): -0.30
Crystal system: tetragonal
Magnetization (μB/cell): 0.0
VASP energy (eV per atom): -3.938

Lattice parameters (Å, degrees): 5.583 5.583 5.121 90.00 90.00 90.00
Space group P4/mmm (No. 123)
Inequivalent atoms, fractional coordinates:
1 Na 0.000 0.000 0.000
2 Ca 0.000 0.500 0.500
3 Sn 0.500 0.500 0.000
4 Ir 0.500 0.500 0.500

***

No. 12
Material: Hf2Be3Os
Method: DFT, PBE
State: optimized geometry

ΔH_f (0 K) (eV per atom): -0.32
Crystal system: trigonal
Magnetization (μB/cell): 0.0
VASP energy (eV per atom): -7.371

Lattice parameters (Å, degrees): 4.8984 4.8984 11.8696 90.00 90.00 120.00
Space group R-3m (No. 166, hexagonal axes)
Inequivalent atoms, fractional coordinates:
1 Hf 0.0000 0.0000 0.1258
2 Be 0.0000 0.5000 0.0000
3 Os 0.0000 0.0000 0.5000

***

No. 13
Material: CePr2Nd3Se6
Method: DFT, PBE
State: optimized geometry

Crystal system: monoclinic
Magnetization (μB/cell): 2.3
VASP energy (eV per atom): -6.065

Lattice parameters (Å, degrees): 18.456 4.224 8.519 90.00 103.24 90.00
Space group C2/m (No. 12)
Inequivalent atoms, fractional coordinates:
1 Ce 0.000 0.000 0.000
2 Pr 0.167 0.500 0.332
3 Nd 0.000 0.000 0.500
4 Nd 0.168 0.500 0.834
5 Se 0.001 0.500 0.752
6 Se 0.165 0.000 0.081
7 Se 0.166 0.000 0.585

***

No. 14
Material: LiTl2AgSb2
Method: DFT, PBE
State: optimized geometry

Crystal system: orthorhombic
Magnetization (μB/cell): 0.0
VASP energy (eV per atom): -3.056

Lattice parameters (Å, degrees): 6.366 15.536 6.420 90.00 90.00 90.00
Space group Ibam (No. 72)
Inequivalent atoms, fractional coordinates:
1 Li 0.000 0.000 0.250
2 Tl 0.249 0.174 0.000
3 Ag 0.000 0.500 0.250
4 Sb 0.250 0.116 0.500

***

No. 15
Material: Ba2SnHg2
Method: DFT, PBE
State: optimized geometry

ΔH_f (0 K) (eV per atom): -0.42
Crystal system: tetragonal
Magnetization (μB/cell): 0.0
VASP energy (eV per atom): -2.108

Lattice parameters (Å, degrees): 4.399 4.399 19.543 90.00 90.00 90.00
Space group I4/mmm (No. 139)
Inequivalent atoms, fractional coordinates:
1 Ba 0.000 0.000 0.101
2 Sn 0.000 0.000 0.500
3 Hg 0.000 0.500 0.250

***

No. 16
Material: Eu2TmTh
Method: DFT, PBE
State: optimized geometry

ΔH_f (0 K) (eV per atom): 0.26
Crystal system: trigonal
Magnetization (μB/cell): 45.7
VASP energy (eV per atom): -7.849

Lattice parameters (Å, degrees): 3.5301 3.5301 38.8533 90.00 90.00 120.00
Space group R-3m (No. 166, hexagonal axes)
Inequivalent atoms, fractional coordinates:
1 Eu 0.0000 0.0000 0.0890
2 Tm 0.0000 0.0000 0.5000
3 Th 0.0000 0.0000 0.0000

***

No. 17
Material: Ba6NaSr2Rh
Method: DFT, PBE
State: optimized geometry

ΔH_f (0 K) (eV per atom): -0.02
Crystal system: monoclinic
Magnetization (μB/cell): 0.0
VASP energy (eV per atom): -2.375

Lattice parameters (Å, degrees): 13.218 13.219 9.340 90.00 134.95 90.00
Space group Cm (No. 8)
Inequivalent atoms, fractional coordinates:
1 Ba 0.000 0.000 0.000
2 Ba 0.000 0.000 0.462
3 Ba 0.231 0.231 0.462
4 Ba 0.461 0.000 0.461
5 Ba 0.462 0.000 0.924
6 Na 0.230 0.500 0.462
7 Sr 0.231 0.250 0.962
8 Rh 0.231 0.000 0.462

***

No. 18
Material: TcW2Br
Method: DFT, PBE
State: optimized geometry

Crystal system: tetragonal
Magnetization (μB/cell): 0.0
VASP energy (eV per atom): -8.171

Lattice parameters (Å, degrees): 3.788 3.788 4.627 90.00 90.00 90.00
Space group P4/mmm (No. 123)
Inequivalent atoms, fractional coordinates:
1 Tc 0.000 0.000 0.000
2 W 0.000 0.500 0.500
3 Br 0.500 0.500 0.000

***

No. 19
Material: MgCuPt2
Method: DFT, PBE
State: optimized geometry

ΔH_f (0 K) (eV per atom): -0.54
Crystal system: tetragonal
Magnetization (μB/cell): 0.0
VASP energy (eV per atom): -4.978

Lattice parameters (Å, degrees): 4.003 4.003 7.427 90.00 90.00 90.00
Space group I4/mmm (No. 139)
Inequivalent atoms, fractional coordinates:
1 Mg 0.000 0.000 0.000
2 Cu 0.000 0.000 0.500
3 Pt 0.000 0.500 0.250

***

No. 20
Material: RbHgC3
Method: DFT, PBE
State: optimized geometry

ΔH_f (0 K) (eV per atom): 3.07
Crystal system: cubic
Magnetization (μB/cell): 5.2
VASP energy (eV per atom): -2.719

Lattice parameters (Å, degrees): 4.646 4.646 4.646 90.00 90.00 90.00
Space group Pm-3m (No. 221)
Inequivalent atoms, fractional coordinates:
1 Rb 0.000 0.000 0.000
2 Hg 0.500 0.500 0.500
3 C 0.000 0.500 0.500

***

No. 21
Material: Mg3SiPb
Method: DFT, PBE
State: optimized geometry

Crystal system: cubic
Magnetization (μB/cell): 0.6
VASP energy (eV per atom): -2.053

Lattice parameters (Å, degrees): 5.335 5.335 5.335 90.00 90.00 90.00
Space group Pm-3m (No. 221)
Inequivalent atoms, fractional coordinates:
1 Mg 0.000 0.000 0.500
2 Si 0.500 0.500 0.500
3 Pb 0.000 0.000 0.000

***

No. 22
Material: Mg2SiNi6B
Method: DFT, PBE
State: optimized geometry

Crystal system: triclinic
Magnetization (μB/cell): 0.0
VASP energy (eV per atom): -5.240

Lattice parameters (Å, degrees): 5.196 5.199 6.356 65.88 65.91 60.03
Space group P-1 (No. 2)
Inequivalent atoms, fractional coordinates:
1 Mg 0.217 0.215 0.352
2 Si 0.500 0.500 0.500
3 Ni 0.237 0.240 0.817
4 Ni 0.238 0.709 0.815
5 Ni 0.296 0.760 0.182
6 B 0.000 0.000 0.000

***

No. 23
Material: Cs2CdMoS4
Method: DFT, PBE
State: optimized geometry

Crystal system: monoclinic
Magnetization (μB/cell): 0.0
VASP energy (eV per atom): -4.513

Lattice parameters (Å, degrees): 7.107 24.366 7.627 90.00 117.72 90.00
Space group C2/c (No. 15)
Inequivalent atoms, fractional coordinates:
1 Cs 0.000 0.052 0.250
2 Cs 0.000 0.302 0.750
3 Cd 0.000 0.125 0.750
4 Mo 0.000 0.375 0.250
5 S 0.115 0.424 0.070
6 S 0.206 0.174 0.570

***

No. 24
Material: GaRe2H
Method: DFT, PBE
State: optimized geometry

Crystal system: cubic
Magnetization (μB/cell): 0.0
VASP energy (eV per atom): -6.814

Lattice parameters (Å, degrees): 5.870 5.870 5.870 90.00 90.00 90.00
Space group Fm-3m (No. 225)
Inequivalent atoms, fractional coordinates:
1 Ga 0.000 0.000 0.000
2 Re 0.250 0.250 0.250
3 H 0.000 0.000 0.500

***

No. 25
Material: La3MgO
Method: DFT, PBE
State: optimized geometry

Crystal system: cubic
Magnetization (μB/cell): 37.7
VASP energy (eV per atom): -5.026

Lattice parameters (Å, degrees): 13.738 13.738 13.738 90.00 90.00 90.00
Space group Fd-3m (No. 227, origin choice 2)
Inequivalent atoms, fractional coordinates:
1 La 0.060 0.375 0.375
2 Mg 0.000 0.000 0.500
3 O 0.000 0.000 0.000